[1]
Mg2ZnW: relaxed, GGA-PBEsol.

Output
Its energy relative to the elements is 0.3369 eV per atom.

abc: 2.7500 5.1997 5.1997
angles: 115.68 90.00 90.00
Fractional coordinates of all 4 atoms:
Zn  0.5000  0.5000  0.5000
Mg  0.0000  0.0000  0.5000
Mg  0.0000  0.5000  0.0000
W  0.5000  0.0000  0.0000

***

[2]
Zn11Ni2: relaxed, GGA-PBEsol.

Output
Its energy relative to the elements is -0.1694 eV per atom.

abc: 7.6082 7.6082 7.6082
angles: 109.47 109.47 109.47
Fractional coordinates of all 26 atoms:
Ni  0.3436  0.0000  0.0000
Ni  0.0000  0.0000  0.3436
Ni  0.0000  0.3436  0.0000
Ni  0.6564  0.6564  0.6564
Zn  0.6447  0.6447  0.0000
Zn  0.0000  0.6447  0.6447
Zn  0.6152  0.3510  0.3510
Zn  0.2642  0.6490  0.0000
Zn  0.6490  0.0000  0.2642
Zn  0.0000  0.7895  0.0000
Zn  0.0000  0.3553  0.3553
Zn  0.6490  0.2642  0.0000
Zn  0.0000  0.6490  0.2642
Zn  0.0000  0.0000  0.7895
Zn  0.3848  0.7358  0.7358
Zn  0.3510  0.3510  0.6152
Zn  0.7358  0.7358  0.3848
Zn  0.7358  0.3848  0.7358
Zn  0.3510  0.6152  0.3510
Zn  0.3553  0.3553  0.0000
Zn  0.2642  0.0000  0.6490
Zn  0.6447  0.0000  0.6447
Zn  0.3553  0.0000  0.3553
Zn  0.0000  0.2642  0.6490
Zn  0.7895  0.0000  0.0000
Zn  0.2105  0.2105  0.2105

***

[3]
ZrIr2Rh: relaxed, GGA-PBEsol.

Output
Its energy relative to the elements is -0.2958 eV per atom.

abc: 2.7735 4.5470 5.0654
angles: 90.00 103.40 90.00
Fractional coordinates of all 4 atoms:
Rh  0.5000  0.5000  0.0000
Zr  0.0000  0.5000  0.5000
Ir  0.3608  0.0000  0.2296
Ir  0.6392  0.0000  0.7704

***

Listing calculated volume for the structures above in their given order: 16.8 13.0 15.5 Å³ per atom.